Entry 1:
Computed, not measured: an optimized crystal structure of CaFeOs4 at the GGA-PBE level of DFT.

The structure in POSCAR format:
```
CaFeOs4
1.0
-0.651 -4.417 2.720
-0.151 0.145 5.224
-4.499 -0.884 2.511
Ca Fe Os
1 1 4
Direct
0.750 0.750 0.750
0.000 0.000 0.000
0.375 0.876 0.375
0.876 0.375 0.375
0.375 0.375 0.876
0.375 0.375 0.375
```

Space group   F-43m, No. 216
Formation enthalpy at 0 K   0.501 eV per atom


Entry 2:
Computed, not measured: an optimized crystal structure of Ti2TlO at the GGA-PBE level of DFT.

The structure in POSCAR format:
```
Ti2TlO
1.0
4.098 1.249 1.408
0.781 4.293 1.141
0.661 1.100 4.323
Tl O Ti
1 1 2
Direct
0.500 0.500 0.500
0.000 0.000 0.000
0.250 0.250 0.250
0.750 0.750 0.750
```

Space group   Fm-3m, No. 225
ΔE_f (raw)   0.059 eV per atom
Energy relative to the lowest polymorph listed for this composition   1237 meV/atom


Entry 3:
Computed, not measured: an optimized crystal structure of VRh2Br2 at the GGA-PBE level of DFT.

The structure in POSCAR format:
```
VRh2Br2
1.0
-4.099 -0.048 1.189
0.117 -4.261 0.231
-0.460 -1.826 6.001
Rh Br V
2 2 1
Direct
0.389 0.389 0.221
0.611 0.611 0.779
0.750 0.250 0.500
0.250 0.750 0.500
0.000 0.000 0.000
```

Space group   I4/mmm, No. 139
ΔE_f (raw)   0.866 eV per atom
Energy relative to the lowest polymorph listed for this composition   499 meV/atom


Entry 4:
Computed, not measured: an optimized crystal structure of La6PrTm2Sc at the GGA-PBE level of DFT.

The structure in POSCAR format:
```
La6PrTm2Sc
1.0
8.965 0.000 1.366
0.000 7.468 0.000
-2.050 -3.734 4.922
La Pr Tm Sc
6 1 2 1
Direct
0.448 0.664 0.329
0.215 0.085 0.733
0.785 0.353 0.267
0.215 0.647 0.733
0.785 0.915 0.267
0.552 0.336 0.671
0.000 0.500 0.000
0.146 0.122 0.245
0.854 0.878 0.755
0.500 0.000 0.000
```

Space group   C2/m, No. 12
Formation enthalpy at 0 K   0.187 eV per atom


Entry 5:
Computed, not measured: an optimized crystal structure of UPdI6 at the GGA-PBE level of DFT.

The structure in POSCAR format:
```
UPdI6
1.0
8.041 -0.552 -2.045
-2.623 6.664 -2.882
-0.448 -0.746 7.671
U Pd I
1 1 6
Direct
0.500 0.500 0.500
0.000 0.000 0.000
0.767 0.614 0.932
0.767 0.932 0.614
0.233 0.068 0.386
0.233 0.386 0.068
0.701 0.302 0.302
0.299 0.698 0.698
```

Space group   C2/m, No. 12
ΔE_f (raw)   -0.579 eV per atom
Energy relative to the lowest polymorph listed for this composition   0 meV/atom


Entry 6:
Computed, not measured: an optimized crystal structure of YHf2Zr at the GGA-PBE level of DFT.

The structure in POSCAR format:
```
YHf2Zr
1.0
-1.839 2.219 1.549
-2.600 -0.958 1.740
4.632 -0.526 9.697
Y Hf Zr
1 2 1
Direct
0.500 0.500 0.500
0.079 0.079 0.763
0.254 0.254 0.236
0.667 0.667 0.000
```

Space group   R3m, No. 160
Formation enthalpy at 0 K   0.123 eV per atom
Energy relative to the lowest polymorph listed for this composition   0 meV/atom


Entry 7:
Computed, not measured: an optimized crystal structure of SbPb3 at the GGA-PBE level of DFT.

The structure in POSCAR format:
```
SbPb3
1.0
-4.241 -3.563 0.296
-0.511 -3.343 4.396
-4.078 0.841 3.664
Pb Sb
3 1
Direct
0.000 0.000 0.000
0.250 0.250 0.250
0.500 0.500 0.500
0.750 0.750 0.750
```

Space group   Fm-3m, No. 225
ΔE_f (raw)   0.066 eV per atom


Entry 8:
Computed, not measured: an optimized crystal structure of VP3I at the GGA-PBE level of DFT.

The structure in POSCAR format:
```
VP3I
1.0
5.050 0.000 0.000
0.000 5.050 0.000
0.000 0.000 5.050
I P V
1 3 1
Direct
0.000 0.000 0.000
0.000 0.500 0.000
0.000 0.000 0.500
0.500 0.000 0.000
0.500 0.500 0.500
```

Space group   Pm-3m, No. 221
ΔE_f (raw)   1.760 eV per atom
Energy relative to the lowest polymorph listed for this composition   1387 meV/atom


Entry 9:
Computed, not measured: an optimized crystal structure of CdSbRh at the GGA-PBE level of DFT.

The structure in POSCAR format:
```
CdSbRh
1.0
-3.313 0.503 0.484
1.340 -3.066 0.516
1.146 1.551 6.232
Cd Sb Rh
1 1 1
Direct
0.000 0.000 0.036
0.333 0.667 0.614
0.667 0.333 0.351
```

Space group   P3m1, No. 156
ΔE_f (raw)   -0.151 eV per atom


Entry 10:
Computed, not measured: an optimized crystal structure of CaPuGe4 at the GGA-PBE level of DFT.

The structure in POSCAR format:
```
CaPuGe4
1.0
5.636 0.000 0.000
2.818 4.881 0.000
2.818 1.627 4.602
Ge Ca Pu
4 1 1
Direct
0.624 0.624 0.127
0.624 0.127 0.624
0.624 0.624 0.624
0.127 0.624 0.624
0.000 0.000 0.000
0.250 0.250 0.250
```

Space group   F-43m, No. 216
Formation enthalpy at 0 K   -0.297 eV per atom


Entry 11:
Computed, not measured: an optimized crystal structure of SrCo3 at the GGA-PBE level of DFT.

The structure in POSCAR format:
```
SrCo3
1.0
-4.173 -3.390 -0.643
1.042 -5.244 0.852
-0.255 5.028 1.993
Co Sr
3 1
Direct
0.796 0.796 0.000
0.204 0.204 0.000
0.000 0.500 0.500
0.500 0.000 0.500
```

Space group   Immm, No. 71
Formation enthalpy at 0 K   0.672 eV per atom


Entry 12:
Computed, not measured: an optimized crystal structure of GaTcAgO5 at the GGA-PBE level of DFT.

The structure in POSCAR format:
```
GaTcAgO5
1.0
-3.286 4.526 1.762
-1.072 -0.907 -5.693
-3.310 -5.471 3.004
Ga Tc Ag O
2 2 2 10
Direct
0.000 0.000 0.500
0.000 0.000 0.000
0.679 0.321 0.250
0.321 0.679 0.750
0.308 0.692 0.250
0.692 0.308 0.750
0.064 0.936 0.250
0.936 0.064 0.750
0.913 0.314 0.120
0.087 0.686 0.880
0.686 0.087 0.380
0.314 0.913 0.620
0.759 0.614 0.433
0.241 0.386 0.567
0.386 0.241 0.067
0.614 0.759 0.933
```

Space group   C2/c, No. 15
ΔE_f (raw)   -1.116 eV per atom